1.
Density functional theory data (PBE) for a relaxed ZnCdSe2 crystal.

abc: 5.278 5.278 4.687
angles: 106.57 106.57 89.53
Atoms (fractional coordinates):
Zn: 0.000 0.000 0.000
Cd: 0.500 0.500 0.000
Se: 0.000 0.500 0.000
Se: 0.500 0.000 0.000



2.
Density functional theory data (PBE) for a relaxed ZnCd3Se crystal.

abc: 5.109 5.109 5.109
angles: 90.00 90.00 90.00
Atoms (fractional coordinates):
Zn: 0.000 0.000 0.000
Cd: 0.000 0.000 0.500
Cd: 0.000 0.500 0.000
Cd: 0.500 0.000 0.000
Se: 0.500 0.500 0.500



3.
Density functional theory data (PBE) for a relaxed ZnCdSe2 crystal.

abc: 8.514 8.514 7.002
angles: 101.91 101.91 27.60
Atoms (fractional coordinates):
Zn: 0.030 0.030 0.313
Zn: 0.970 0.970 0.687
Cd: 0.308 0.308 0.109
Cd: 0.692 0.692 0.891
Se: 0.115 0.115 0.651
Se: 0.438 0.438 0.873
Se: 0.562 0.562 0.127
Se: 0.885 0.885 0.349



4.
Density functional theory data (PBE) for a relaxed ZnCdSe2 crystal.

abc: 4.576 4.576 7.410
angles: 90.00 90.00 132.03
Atoms (fractional coordinates):
Zn: 0.000 0.000 0.000
Cd: 0.000 0.000 0.500
Se: 0.500 0.500 0.232
Se: 0.500 0.500 0.768



5.
Density functional theory data (PBE) for a relaxed ZnCd3Se crystal.

abc: 5.529 5.529 5.529
angles: 90.00 90.00 90.00
Atoms (fractional coordinates):
Zn: 0.000 0.000 0.000
Cd: 0.000 0.500 0.500
Cd: 0.500 0.000 0.500
Cd: 0.500 0.500 0.000
Se: 0.500 0.500 0.500



6.
Density functional theory data (PBE) for a relaxed ZnCdSe2 crystal.

abc: 4.197 4.197 6.022
angles: 90.00 90.00 90.11
Atoms (fractional coordinates):
Zn: 0.000 0.000 0.000
Cd: 0.500 0.500 0.500
Se: 0.000 0.500 0.227
Se: 0.500 0.000 0.773



7.
Density functional theory data (PBE) for a relaxed ZrCdSe crystal.

abc: 3.870 3.870 8.713
angles: 90.00 90.00 90.00
Atoms (fractional coordinates):
Zr: 0.250 0.250 0.202
Zr: 0.750 0.750 0.798
Cd: 0.250 0.750 0.500
Cd: 0.750 0.250 0.500
Se: 0.250 0.250 0.875
Se: 0.750 0.750 0.125



8.
Density functional theory data (PBE) for a relaxed Zr2CdSe2 crystal.

abc: 7.776 7.776 3.470
angles: 90.00 90.00 90.00
Atoms (fractional coordinates):
Zr: 0.148 0.352 0.000
Zr: 0.352 0.852 0.000
Zr: 0.648 0.148 0.000
Zr: 0.852 0.648 0.000
Cd: 0.000 0.000 0.000
Cd: 0.500 0.500 0.000
Se: 0.142 0.642 0.500
Se: 0.358 0.142 0.500
Se: 0.642 0.858 0.500
Se: 0.858 0.358 0.500



9.
Density functional theory data (PBE) for a relaxed ZrCd3Se crystal.

abc: 5.229 5.229 5.229
angles: 90.00 90.00 90.00
Atoms (fractional coordinates):
Zr: 0.000 0.000 0.000
Cd: 0.000 0.500 0.500
Cd: 0.500 0.000 0.500
Cd: 0.500 0.500 0.000
Se: 0.500 0.500 0.500



10.
Density functional theory data (PBE) for a relaxed ZrCdSe crystal.

abc: 4.593 4.593 3.826
angles: 90.00 90.00 120.00
Atoms (fractional coordinates):
Zr: 0.000 0.000 0.000
Cd: 0.667 0.333 0.500
Se: 0.333 0.667 0.000



11.
Density functional theory data (PBE) for a relaxed ZrCdSe3 crystal.

abc: 5.237 5.237 5.237
angles: 90.00 90.00 90.00
Atoms (fractional coordinates):
Zr: 0.000 0.000 0.000
Cd: 0.500 0.500 0.500
Se: 0.000 0.000 0.500
Se: 0.000 0.500 0.000
Se: 0.500 0.000 0.000



12.
Density functional theory data (PBE) for a relaxed ZrCdSe crystal.

abc: 6.401 6.401 6.401
angles: 148.95 148.95 44.49
Atoms (fractional coordinates):
Zr: 0.000 0.000 0.000
Cd: 0.324 0.324 0.000
Se: 0.607 0.607 0.000



Here are the calculated total magnetization numbers, same order: 0.0000 0.0000 0.0000 0.0000 0.0000 0.0000 0.0000 0.0000 0.3750 0.0000 0.0000 0.0000 (μB/atom).
Here are the calculated formation energy without anion corrections numbers, same order: -0.6 1.3 -1.5 -0.8 2.0 -2.6 -1.9 -3.8 3.7 -1.1 -2.3 -1.8 (eV per formula unit).